(1)
Material: ReMoAs2
Method: DFT, PBE
State: relaxed

Lattice parameters (Å, degrees): 4.492 4.492 4.492 60.00 60.00 60.00
Element x y z (fractional)
Re1 0.000 0.000 0.000
Mo1 0.250 0.250 0.250
As1 0.500 0.500 0.500
As2 0.750 0.750 0.750

Output
Its density of states at the Fermi level is 4.9 states/eV/cell. The calculation puts the formation energy at 0.564 eV per atom. The raw total energy is -7.581 eV/atom.

---

(2)
Material: AcBi2Au2
Method: DFT, PBE
State: relaxed

Lattice parameters (Å, degrees): 5.385 4.930 11.480 90.00 102.84 90.00
Element x y z (fractional)
Ac1 0.159 0.250 0.314
Ac2 0.841 0.750 0.686
Bi1 0.261 0.250 0.987
Bi2 0.309 0.250 0.661
Bi3 0.691 0.750 0.339
Bi4 0.739 0.750 0.013
Au1 0.267 0.750 0.134
Au2 0.280 0.750 0.513
Au3 0.720 0.250 0.487
Au4 0.733 0.250 0.866

Output
Its density of states at the Fermi level is 5.1 states/eV/cell. The calculation puts the formation energy at -0.482 eV per atom. The raw total energy is -4.167 eV/atom.

---

(3)
Material: TbNdMg
Method: DFT, PBE
State: relaxed

Lattice parameters (Å, degrees): 6.197 5.611 10.480 90.00 90.00 90.00
Element x y z (fractional)
Tb1 0.167 0.250 0.016
Tb2 0.333 0.750 0.516
Tb3 0.667 0.250 0.484
Tb4 0.833 0.750 0.984
Nd1 0.126 0.250 0.685
Nd2 0.374 0.750 0.185
Nd3 0.626 0.250 0.815
Nd4 0.874 0.750 0.315
Mg1 0.182 0.250 0.344
Mg2 0.318 0.750 0.844
Mg3 0.682 0.250 0.156
Mg4 0.818 0.750 0.656

Output
Its density of states at the Fermi level is 14.9 states/eV/cell. The calculation puts the formation energy at 0.018 eV per atom. The raw total energy is -3.647 eV/atom.

---

(4)
Material: PrSm3HoSc
Method: DFT, PBE
State: relaxed

Lattice parameters (Å, degrees): 7.967 7.967 10.134 90.00 90.00 143.34
Element x y z (fractional)
Pr1 0.004 0.996 0.750
Pr2 0.996 0.004 0.250
Sm1 0.167 0.833 0.501
Sm2 0.167 0.833 0.999
Sm3 0.331 0.669 0.750
Sm4 0.669 0.331 0.250
Sm5 0.833 0.167 0.001
Sm6 0.833 0.167 0.499
Ho1 0.500 0.500 0.000
Ho2 0.500 0.500 0.500
Sc1 0.332 0.668 0.250
Sc2 0.668 0.332 0.750

Output
Its density of states at the Fermi level is 18.1 states/eV/cell. The calculation puts the formation energy at 0.038 eV per atom. The raw total energy is -4.936 eV/atom.

---

(5)
Material: BeFeOs
Method: DFT, PBE
State: relaxed

Lattice parameters (Å, degrees): 2.767 3.544 6.841 90.00 101.68 90.00
Element x y z (fractional)
Be1 0.042 0.250 0.085
Be2 0.958 0.750 0.915
Fe1 0.210 0.250 0.421
Fe2 0.790 0.750 0.579
Os1 0.396 0.250 0.793
Os2 0.604 0.750 0.207

Output
Its density of states at the Fermi level is 4.6 states/eV/cell. The calculation puts the formation energy at -0.026 eV per atom. The raw total energy is -7.832 eV/atom.

---

(6)
Material: Pa2GaPd3
Method: DFT, PBE
State: relaxed

Lattice parameters (Å, degrees): 5.596 5.596 8.222 90.00 90.00 120.00
Element x y z (fractional)
Pa1 0.333 0.667 0.079
Pa2 0.333 0.667 0.421
Pa3 0.667 0.333 0.579
Pa4 0.667 0.333 0.921
Ga1 0.000 0.000 0.000
Ga2 0.000 0.000 0.500
Pd1 0.170 0.339 0.750
Pd2 0.170 0.830 0.750
Pd3 0.339 0.170 0.250
Pd4 0.661 0.830 0.750
Pd5 0.830 0.170 0.250
Pd6 0.830 0.661 0.250

Output
Its density of states at the Fermi level is 15.8 states/eV/cell. The calculation puts the formation energy at -0.619 eV per atom. The raw total energy is -6.885 eV/atom.

---

(7)
Material: LaTb15Pm4
Method: DFT, PBE
State: relaxed

Lattice parameters (Å, degrees): 5.083 5.083 25.329 90.00 90.00 90.00
Element x y z (fractional)
La1 0.000 0.000 0.000
Tb1 0.000 0.500 0.101
Tb2 0.000 0.500 0.301
Tb3 0.000 0.500 0.500
Tb4 0.000 0.500 0.699
Tb5 0.000 0.500 0.899
Tb6 0.500 0.000 0.101
Tb7 0.500 0.000 0.301
Tb8 0.500 0.000 0.500
Tb9 0.500 0.000 0.699
Tb10 0.500 0.000 0.899
Tb11 0.500 0.500 0.000
Tb12 0.500 0.500 0.201
Tb13 0.500 0.500 0.400
Tb14 0.500 0.500 0.600
Tb15 0.500 0.500 0.799
Pm1 0.000 0.000 0.200
Pm2 0.000 0.000 0.400
Pm3 0.000 0.000 0.600
Pm4 0.000 0.000 0.800

Output
Its density of states at the Fermi level is 27.4 states/eV/cell. The calculation puts the formation energy at 0.018 eV per atom. The raw total energy is -4.651 eV/atom.

---

(8)
Material: ErPd3Au3
Method: DFT, PBE
State: relaxed

Lattice parameters (Å, degrees): 7.733 7.733 4.811 90.00 90.00 120.00
Element x y z (fractional)
Er1 0.333 0.667 0.250
Er2 0.667 0.333 0.750
Pd1 0.042 0.806 0.250
Pd2 0.194 0.236 0.250
Pd3 0.236 0.042 0.750
Pd4 0.764 0.958 0.250
Pd5 0.806 0.764 0.750
Pd6 0.958 0.194 0.750
Au1 0.091 0.631 0.750
Au2 0.369 0.459 0.750
Au3 0.459 0.091 0.250
Au4 0.541 0.909 0.750
Au5 0.631 0.541 0.250
Au6 0.909 0.369 0.250

Output
Its density of states at the Fermi level is 5.3 states/eV/cell. The calculation puts the formation energy at -0.496 eV per atom. The raw total energy is -4.778 eV/atom.

---

(9)
Material: AcY2Rh
Method: DFT, PBE
State: relaxed

Lattice parameters (Å, degrees): 3.578 3.578 9.096 90.00 90.00 90.00
Element x y z (fractional)
Ac1 0.000 0.000 0.000
Y1 0.500 0.500 0.322
Y2 0.500 0.500 0.678
Rh1 0.000 0.000 0.500

Output
Its density of states at the Fermi level is 5.2 states/eV/cell. The calculation puts the formation energy at -0.369 eV per atom. The raw total energy is -6.466 eV/atom.

---

(10)
Material: K2Mn2Cl
Method: DFT, PBE
State: relaxed

Lattice parameters (Å, degrees): 8.598 8.598 5.066 90.00 90.00 90.00
Element x y z (fractional)
K1 0.193 0.307 0.000
K2 0.307 0.807 0.000
K3 0.693 0.193 0.000
K4 0.807 0.693 0.000
Mn1 0.101 0.601 0.500
Mn2 0.399 0.101 0.500
Mn3 0.601 0.899 0.500
Mn4 0.899 0.399 0.500
Cl1 0.000 0.000 0.000
Cl2 0.500 0.500 0.000

Output
The calculation puts the formation energy (no corrections) at 0.400 eV/atom. Its density of states at the Fermi level is 8.5 states/eV/cell. The raw total energy is -4.076 eV/atom.

---

(11)
Material: Nd2SmTl3Se6
Method: DFT, PBE
State: relaxed

Lattice parameters (Å, degrees): 7.464 7.464 8.144 98.78 98.78 120.00
Element x y z (fractional)
Nd1 0.167 0.833 0.000
Nd2 0.833 0.167 0.000
Sm1 0.500 0.500 0.000
Tl1 0.000 0.000 0.500
Tl2 0.333 0.667 0.500
Tl3 0.667 0.333 0.500
Se1 0.100 0.430 0.790
Se2 0.240 0.240 0.211
Se3 0.430 0.100 0.790
Se4 0.570 0.900 0.210
Se5 0.760 0.760 0.789
Se6 0.900 0.570 0.210

Output
The calculation puts the formation energy (no corrections) at -1.381 eV/atom. The raw total energy is -4.902 eV/atom.

---

(12)
Material: SiMoRu2
Method: DFT, PBE
State: relaxed

Lattice parameters (Å, degrees): 4.485 4.485 4.485 126.68 126.68 78.78
Element x y z (fractional)
Si1 0.000 0.000 0.000
Mo1 0.500 0.500 0.000
Ru1 0.250 0.750 0.500
Ru2 0.750 0.250 0.500

Output
The calculation puts the formation energy (no corrections) at -0.192 eV/atom. Its density of states at the Fermi level is 3.5 states/eV/cell. The raw total energy is -8.894 eV/atom.